Computed, not measured: a geometry-optimized Ca5MoO8 structure at the GGA+U level of DFT.

a b c (Å): 6.1527 6.1527 6.1527
angles (deg): 110.04 110.04 108.34
Closest atoms and distances in Å follow each position.
Atoms (fractional coordinates):
1 Ca 0.0000 0.0000 0.0000  4 O 2.31
2 Ca 0.1090 0.2402 0.5983  5 O 2.24-2.50
3 Ca 0.4893 0.8910 0.1312  5 O 2.24-2.50
4 Ca 0.6419 0.5107 0.4017  5 O 2.24-2.50
5 Ca 0.7598 0.3581 0.8688  5 O 2.24-2.50
6 Mo 0.2500 0.7500 0.5000  4 O 1.93
7 O 0.0186 0.6315 0.7558  4 Ca 2.24-2.50
8 O 0.2661 0.5537 0.1911  1 Mo 1.93
9 O 0.3625 0.0750 0.8089  1 Mo 1.93
10 O 0.3685 0.1242 0.3870  4 Ca 2.24-2.50
11 O 0.4463 0.6375 0.7125  1 Mo 1.93
12 O 0.7372 0.9814 0.6130  4 Ca 2.24-2.50
13 O 0.8758 0.2628 0.2442  4 Ca 2.24-2.50
14 O 0.9250 0.7339 0.2875  1 Mo 1.93

The total energy is -6.5032 eV/atom.